Entry 1:
Nd4InPd12 after structural relaxation. Source: Alexandria, functional PBE.

N(E_F)   3.4 states/eV/cell
Total DFT energy (no corrections)   -97.24 eV for the cell shown

Cell: 7.5228 7.5228 7.5228 Å, 109.47 109.47 109.47°
Closest atoms and distances in Å follow each position.
Element x y z (fractional)
1 Nd 0.0000 0.0000 0.5000  12 Pd 3.07-3.10
2 Nd 0.0000 0.5000 0.0000  12 Pd 3.07-3.10
3 Nd 0.5000 0.0000 0.0000  12 Pd 3.07-3.10
4 Nd 0.5000 0.5000 0.5000  12 Pd 3.07-3.10
5 In 0.0000 0.0000 0.0000  6 Pd 2.62
6 Pd 0.0000 0.3022 0.3022  1 In 2.62, 4 Pd 2.77
7 Pd 0.0000 0.6978 0.6978  1 In 2.62, 4 Pd 2.77
8 Pd 0.2500 0.5000 0.7500  8 Pd 2.77-3.07, 4 Nd 3.07
9 Pd 0.2500 0.7500 0.5000  8 Pd 2.77-3.07, 4 Nd 3.07
10 Pd 0.3022 0.0000 0.3022  1 In 2.62, 4 Pd 2.77
11 Pd 0.3022 0.3022 0.0000  1 In 2.62, 4 Pd 2.77
12 Pd 0.5000 0.2500 0.7500  8 Pd 2.77-3.07, 4 Nd 3.07
13 Pd 0.5000 0.7500 0.2500  8 Pd 2.77-3.07, 4 Nd 3.07
14 Pd 0.6978 0.0000 0.6978  1 In 2.62, 4 Pd 2.77
15 Pd 0.6978 0.6978 0.0000  1 In 2.62, 4 Pd 2.77
16 Pd 0.7500 0.2500 0.5000  8 Pd 2.77-3.07, 4 Nd 3.07
17 Pd 0.7500 0.5000 0.2500  8 Pd 2.77-3.07, 4 Nd 3.07

Entry 2:
YBeAu3 after structural relaxation. Source: Alexandria, functional PBE.

N(E_F)   7.8 states/eV/cell
Total DFT energy (no corrections)   -41.76 eV for the cell shown
Offset from the most stable computed form   395 meV/atom

Cell: 5.8864 5.8864 5.8864 Å, 82.46 82.46 82.46°
Closest atoms and distances in Å follow each position.
Element x y z (fractional)
1 Y 0.0000 0.0000 0.0000  2 Be 2.86, 6 Au 2.94
2 Y 0.5000 0.5000 0.5000  2 Be 2.86, 6 Au 2.94
3 Be 0.2500 0.2500 0.2500  3 Au 2.23
4 Be 0.7500 0.7500 0.7500  3 Au 2.23
5 Au 0.0380 0.7500 0.4620  1 Be 2.23
6 Au 0.2500 0.5380 0.9620  1 Be 2.23
7 Au 0.4620 0.0380 0.7500  1 Be 2.23
8 Au 0.5380 0.9620 0.2500  1 Be 2.23
9 Au 0.7500 0.4620 0.0380  1 Be 2.23
10 Au 0.9620 0.2500 0.5380  1 Be 2.23

Entry 3:
ZnCu after structural relaxation. Source: Alexandria, functional PBE.

N(E_F)   1.3 states/eV/cell
Total DFT energy (no corrections)   -11.00 eV for the cell shown

Cell: 2.6918 4.2979 4.5310 Å, 90.00 90.00 90.00°
Closest atoms and distances in Å follow each position.
Element x y z (fractional)
1 Zn 0.2500 0.2500 0.0929  6 Cu 2.60-2.67, 6 Zn 2.67-2.69
2 Zn 0.7500 0.7500 0.9071  6 Cu 2.60-2.67, 6 Zn 2.67-2.69
3 Cu 0.2500 0.7500 0.4164  6 Zn 2.60-2.67, 6 Cu 2.65-2.69
4 Cu 0.7500 0.2500 0.5836  6 Zn 2.60-2.67, 6 Cu 2.65-2.69

Entry 4:
BaTc2AgCl after structural relaxation. Source: Alexandria, functional PBE.

Formation energy without anion corrections   1.183 eV/atom
N(E_F)   7.6 states/eV/cell
Total DFT energy (no corrections)   -21.44 eV for the cell shown

Cell: 5.0658 5.0658 6.1075 Å, 90.00 90.00 90.00°
Closest atoms and distances in Å follow each position.
Element x y z (fractional)
1 Ba 0.0000 0.0000 0.0000  4 Cl 3.58, 8 Tc 3.97
2 Tc 0.0000 0.5000 0.5000  2 Ag 2.53
3 Tc 0.5000 0.0000 0.5000  2 Ag 2.53
4 Ag 0.5000 0.5000 0.5000  4 Tc 2.53
5 Cl 0.5000 0.5000 0.0000  2 Ag 3.05

Entry 5:
HoTlRh2 after structural relaxation. Source: Alexandria, functional PBE.

N(E_F)   1.1 states/eV/cell
Total DFT energy (no corrections)   -23.96 eV for the cell shown
Offset from the most stable computed form   0 meV/atom

Cell: 4.4942 4.4942 3.6562 Å, 90.00 90.00 90.00°
Closest atoms and distances in Å follow each position.
Element x y z (fractional)
1 Ho 0.0000 0.0000 0.0000  8 Rh 2.90, 4 Tl 3.18
2 Tl 0.5000 0.5000 0.0000  8 Rh 2.90, 4 Ho 3.18
3 Rh 0.0000 0.5000 0.5000  4 Tl 2.90, 4 Ho 2.90, 4 Rh 3.18
4 Rh 0.5000 0.0000 0.5000  4 Tl 2.90, 4 Ho 2.90, 4 Rh 3.18

Entry 6:
Zr2AlZn after structural relaxation. Source: Alexandria, functional PBE.

N(E_F)   4.3 states/eV/cell
Total DFT energy (no corrections)   -22.50 eV for the cell shown

Cell: 10.0848 10.0848 10.0848 Å, 17.34 17.34 17.34°
Closest atoms and distances in Å follow each position.
Element x y z (fractional)
1 Zr 0.2491 0.2491 0.2491  3 Zn 3.02, 6 Zr 3.04, 3 Al 3.06
2 Zr 0.7509 0.7509 0.7509  3 Zn 3.02, 6 Zr 3.04, 3 Al 3.06
3 Al 0.0000 0.0000 0.0000  6 Al 3.04, 6 Zr 3.06
4 Zn 0.5000 0.5000 0.5000  6 Zr 3.02, 6 Zn 3.04

Question: total DFT energy (no corrections) of number 3 (ZnCu)?
Answer: -11.00 eV for the cell shown

Question: Which value of N(E_F) does entry 1 give?
Answer: 3.4 states/eV/cell